Record 1
# CsBaSn

A relaxed CsBaSn crystal (PBE, Alexandria).

Summary:
Formation energy from the elements: -265 meV per atom
Crystal system: triclinic
V: 66.90 A^3/atom
Density: 3.2 g/cm3

Unit cell a=5.135 b=5.112 c=17.561 alpha=90.52 beta=90.66 gamma=60.56
Element x y z (fractional)
Cs1 0.672 0.172 0.370
Cs2 0.328 0.828 0.630
Ba1 0.994 0.498 0.871
Ba2 0.006 0.502 0.129
Sn1 0.668 0.167 0.022
Sn2 0.332 0.833 0.978

***

Record 2
# CsBaSn2

A relaxed CsBaSn2 crystal (PBE, Alexandria).

Summary:
Formation energy from the elements: -115 meV per atom
Crystal system: cubic
V: 41.39 A^3/atom
Relative energy among the computed polymorphs: 0.000 eV per atom
Density: 5.1 g/cm3

Unit cell a=6.163 b=6.163 c=6.163 alpha=60.00 beta=60.00 gamma=60.00
Element x y z (fractional)
Cs1 0.000 0.000 0.000
Ba1 0.500 0.500 0.500
Sn1 0.250 0.250 0.250
Sn2 0.750 0.750 0.750

***

Which of these has the highest V? CsBaSn

***

What did the second record say?
# CsBaSn2

A relaxed CsBaSn2 crystal (PBE, Alexandria).

Summary:
Formation energy from the elements: -115 meV per atom
Crystal system: cubic
V: 41.39 A^3/atom
Relative energy among the computed polymorphs: 0.000 eV per atom
Density: 5.1 g/cm3

Unit cell a=6.163 b=6.163 c=6.163 alpha=60.00 beta=60.00 gamma=60.00
Element x y z (fractional)
Cs1 0.000 0.000 0.000
Ba1 0.500 0.500 0.500
Sn1 0.250 0.250 0.250
Sn2 0.750 0.750 0.750